Here is a relaxed structure of NbSiSbTe2 from the Alexandria database. Energies are from PBE-GGA.

Lattice parameters (Å, degrees): 5.368 5.368 5.434 90.00 90.00 90.00
Element x y z (fractional)
Nb: 0.000 0.000 0.000
Si: 0.500 0.500 0.500
Sb: 0.000 0.000 0.500
Te: 0.000 0.500 0.000
Te: 0.500 0.000 0.000

Results
The total energy is -4.50 eV per atom. The symmetry is No. 123. The magnetic moment comes out at 1.1 μB per formula unit. Its uncorrected formation energy is 0.684 eV per atom. The energy above the lowest structure with this stoichiometry is 0 meV per atom.